6
Lattice="0.000 3.550 3.550 3.550 0.000 3.550 3.550 3.550 0.000" Properties=species:S:1:pos:R:3 comment="DyHoBe4 (PBE, relaxed)" crystal_system=cubic ef_ev_per_atom=0.08 pbc="T T T"
Dy 0.000 0.000 0.000
Ho 1.775 1.775 1.775
Be 4.438 2.661 2.661
Be 2.661 4.438 2.661
Be 2.661 2.661 4.438
Be 4.438 4.438 4.438